Compound: TcRh2
Source: the Alexandria database
Functional: PBE
Structure: relaxed

Properties
Energy in Ry/atom: -0.556
Magnetization in μB per formula unit: 0.0
Energy of formation from the pure elements in eV per formula unit: 2.38
Theoretical density in Mg/m³: 9.68
Crystal system: cubic

a b c (Å): 5.929 5.929 5.929
angles (deg): 90.00 90.00 90.00
Space group Pa-3 (No. 205)
Unique sites:
Tc: 0.000 0.000 0.000 x4
Rh: 0.123 0.623 0.877 x8

---

Compound: La6SbTe5
Source: the Alexandria database
Functional: PBE
Structure: relaxed

Properties
Energy in Ry/atom: -0.417
Magnetization in μB per formula unit: 0.0
Raw formation energy in eV per atom: -1.56
Theoretical density in Mg/m³: 6.45
Crystal system: monoclinic

a b c (Å): 7.944 13.764 7.955
angles (deg): 90.00 109.43 90.00
Space group C2/m (No. 12)
Unique sites:
La: 0.247 0.000 0.252 x4
La: 0.247 0.165 0.747 x8
Sb: 0.000 0.000 0.500 x2
Te: 0.000 0.168 0.000 x4
Te: 0.000 0.333 0.500 x4
Te: 0.000 0.500 0.000 x2

---

Compound: Ac11In9Ag4
Source: the Alexandria database
Functional: PBE
Structure: relaxed

Properties
Energy in Ry/atom: -0.277
Magnetization in μB per formula unit: 0.0
Energy of formation from the pure elements in eV per formula unit: -9.32
Theoretical density in Mg/m³: 8.45
Crystal system: orthorhombic

a b c (Å): 15.817 23.833 4.131
angles (deg): 90.00 90.00 90.00
Space group Cmmm (No. 65)
Unique sites:
Ac: 0.000 0.000 0.000 x2
Ac: 0.000 0.163 0.000 x4
Ac: 0.000 0.369 0.000 x4
Ac: 0.197 0.500 0.000 x4
Ac: 0.237 0.174 0.000 x8
In: 0.000 0.500 0.500 x2
In: 0.103 0.264 0.500 x8
In: 0.146 0.071 0.500 x8
Ag: 0.152 0.399 0.500 x8

---

Compound: Ba2IrCl
Source: the Alexandria database
Functional: PBE
Structure: relaxed

Properties
Energy in Ry/atom: -0.309
Magnetization in μB per formula unit: 0.0
Raw formation energy in eV per atom: -0.56
Theoretical density in Mg/m³: 6.85
Crystal system: tetragonal

a b c (Å): 4.460 4.460 12.254
angles (deg): 90.00 90.00 90.00
Space group I-4m2 (No. 119)
Unique sites:
Ba: 0.000 0.000 0.000 x2
Ba: 0.000 0.500 0.250 x2
Ir: 0.000 0.000 0.500 x2
Cl: 0.000 0.500 0.750 x2

---

Compound: LiSNO4
Source: the Alexandria database
Functional: PBE
Structure: relaxed

Properties
Energy in Ry/atom: -0.392
Magnetization in μB per formula unit: 4.1
Raw formation energy in eV per atom: -0.44
Theoretical density in Mg/m³: 1.44
Crystal system: orthorhombic

a b c (Å): 10.146 5.636 9.470
angles (deg): 90.00 90.00 90.00
Space group Pnma (No. 62)
Unique sites:
Li: 0.158 0.250 0.121 x4
S: 0.170 0.750 0.926 x4
N: 0.009 0.750 0.351 x4
O: 0.033 0.750 0.871 x4
O: 0.192 0.536 0.013 x8
O: 0.237 0.250 0.307 x4

---

Compound: Re2AuSe
Source: the Alexandria database
Functional: PBE
Structure: relaxed

Properties
Energy in Ry/atom: -0.544
Magnetization in μB per formula unit: 0.0
Raw formation energy in eV per atom: 0.51
Theoretical density in Mg/m³: 15.43
Crystal system: orthorhombic

a b c (Å): 2.970 4.715 9.967
angles (deg): 90.00 90.00 90.00
Space group Cmm2 (No. 35)
Unique sites:
Re: 0.000 0.000 0.000 x2
Re: 0.000 0.500 0.212 x2
Au: 0.000 0.000 0.464 x2
Se: 0.000 0.500 0.772 x2

---

Compound: Na2HoZnSn2
Source: the Alexandria database
Functional: PBE
Structure: relaxed

Properties
Energy in Ry/atom: -0.227
Magnetization in μB per formula unit: 0.0
Energy of formation from the pure elements in eV per formula unit: -2.04
Theoretical density in Mg/m³: 5.45
Crystal system: orthorhombic

a b c (Å): 4.728 8.838 7.496
angles (deg): 90.00 90.00 90.00
Space group Pmc2_1 (No. 26)
Unique sites:
Na: 0.000 0.078 0.000 x2
Na: 0.500 0.153 0.309 x2
Ho: 0.500 0.481 0.997 x2
Zn: 0.000 0.311 0.620 x2
Sn: 0.000 0.387 0.256 x2
Sn: 0.500 0.196 0.736 x2

---

Compound: Ca2La2Dy
Source: the Alexandria database
Functional: PBE
Structure: relaxed

Properties
Energy in Ry/atom: -0.269
Magnetization in μB per formula unit: 0.0
Energy of formation from the pure elements in eV per formula unit: 0.15
Theoretical density in Mg/m³: 4.59
Crystal system: trigonal

a b c (Å): 3.7311 3.7311 15.6138
angles (deg): 90.00 90.00 120.00
Space group P-3m1 (No. 164)
Unique sites:
Ca: 0.3333 0.6667 0.1050 x2
La: 0.3333 0.6667 0.6847 x2
Dy: 0.0000 0.0000 0.5000 x1

---

Compound: K2OsRh
Source: the Alexandria database
Functional: PBE
Structure: relaxed

Properties
Energy in Ry/atom: -0.329
Magnetization in μB per formula unit: 0.0
Energy of formation from the pure elements in eV per formula unit: 2.88
Theoretical density in Mg/m³: 5.09
Crystal system: monoclinic

a b c (Å): 20.324 2.805 4.351
angles (deg): 90.00 102.16 90.00
Space group C2/m (No. 12)
Unique sites:
K: 0.141 0.000 0.142 x4
Os: 0.000 0.000 0.500 x2
Rh: 0.000 0.500 0.000 x2

---

Compound: La2NdMg9
Source: the Alexandria database
Functional: PBE
Structure: relaxed

Properties
Energy in Ry/atom: -0.183
Magnetization in μB per formula unit: 0.0
Energy of formation from the pure elements in eV per formula unit: -0.95
Theoretical density in Mg/m³: 3.28
Crystal system: trigonal

a b c (Å): 6.1186 6.1186 30.0452
angles (deg): 90.00 90.00 120.00
Space group R-3m (No. 166, hexagonal axes)
Unique sites:
La: 0.0000 0.0000 0.1436 x6
Nd: 0.0000 0.0000 0.0000 x3
Mg: 0.0000 0.0000 0.3340 x6
Mg: 0.0000 0.0000 0.5000 x3
Mg: 0.0025 0.5013 0.9175 x18

---

Compound: NdFe2Ge7
Source: the Alexandria database
Functional: PBE
Structure: relaxed

Properties
Energy in Ry/atom: -0.394
Magnetization in μB per formula unit: 0.7
Energy of formation from the pure elements in eV per formula unit: 0.47
Theoretical density in Mg/m³: 6.21
Crystal system: orthorhombic

a b c (Å): 7.971 12.692 4.044
angles (deg): 90.00 90.00 90.00
Space group Cmmm (No. 65)
Unique sites:
Nd: 0.000 0.000 0.000 x2
Fe: 0.000 0.323 0.500 x4
Ge: 0.000 0.239 0.000 x4
Ge: 0.000 0.500 0.500 x2
Ge: 0.202 0.148 0.500 x8

---

Compound: Ac2MgOsO6
Source: the Alexandria database
Functional: PBE
Structure: relaxed

Properties
Energy in Ry/atom: -0.557
Magnetization in μB per formula unit: 2.0
Raw formation energy in eV per atom: -2.50
Theoretical density in Mg/m³: 9.71
Crystal system: cubic

a b c (Å): 8.056 8.056 8.056
angles (deg): 90.00 90.00 90.00
Space group Fm-3m (No. 225)
Unique sites:
Ac: 0.250 0.250 0.250 x8
Mg: 0.000 0.000 0.000 x4
Os: 0.000 0.000 0.500 x4
O: 0.000 0.000 0.251 x24

---

Compound: Ca2AlBiF
Source: the Alexandria database
Functional: PBE
Structure: relaxed

Properties
Energy in Ry/atom: -0.258
Magnetization in μB per formula unit: 0.0
Raw formation energy in eV per atom: -0.81
Theoretical density in Mg/m³: 3.89
Crystal system: tetragonal

a b c (Å): 5.989 5.989 3.986
angles (deg): 90.00 90.00 90.00
Space group P4/mmm (No. 123)
Unique sites:
Ca: 0.000 0.500 0.000 x2
Al: 0.000 0.000 0.000 x1
Bi: 0.500 0.500 0.500 x1
F: 0.000 0.000 0.500 x1

---

Compound: Ac2Tb2Pm7
Source: the Alexandria database
Functional: PBE
Structure: relaxed

Properties
Energy in Ry/atom: -0.327
Magnetization in μB per formula unit: 0.0
Energy of formation from the pure elements in eV per formula unit: 1.75
Theoretical density in Mg/m³: 7.43
Crystal system: monoclinic

a b c (Å): 11.482 12.045 6.243
angles (deg): 90.00 112.33 90.00
Space group C2/m (No. 12)
Unique sites:
Ac: 0.223 0.000 0.091 x4
Tb: 0.000 0.233 0.000 x4
Pm: 0.000 0.000 0.500 x2
Pm: 0.083 0.500 0.300 x4
Pm: 0.173 0.236 0.669 x8

---

Compound: Ac2In3Sn2
Source: the Alexandria database
Functional: PBE
Structure: relaxed

Properties
Energy in Ry/atom: -0.284
Magnetization in μB per formula unit: 0.0
Energy of formation from the pure elements in eV per formula unit: -2.58
Theoretical density in Mg/m³: 7.50
Crystal system: orthorhombic

a b c (Å): 4.431 22.123 4.679
angles (deg): 90.00 90.00 90.00
Space group Cmmm (No. 65)
Unique sites:
Ac: 0.000 0.160 0.000 x4
In: 0.000 0.000 0.000 x2
In: 0.000 0.433 0.500 x4
Sn: 0.000 0.293 0.500 x4

---

Compound: CeGdPaTl
Source: the Alexandria database
Functional: PBE
Structure: relaxed

Properties
Energy in Ry/atom: -0.571
Magnetization in μB per formula unit: 5.3
Energy of formation from the pure elements in eV per formula unit: 0.80
Theoretical density in Mg/m³: 11.08
Crystal system: cubic

a b c (Å): 7.602 7.602 7.602
angles (deg): 90.00 90.00 90.00
Space group F-43m (No. 216)
Unique sites:
Ce: 0.000 0.000 0.000 x4
Gd: 0.000 0.000 0.500 x4
Pa: 0.250 0.250 0.750 x4
Tl: 0.250 0.250 0.250 x4

---

Compound: LaPm2Au3
Source: the Alexandria database
Functional: PBE
Structure: relaxed

Properties
Energy in Ry/atom: -0.355
Magnetization in μB per formula unit: 0.0
Energy of formation from the pure elements in eV per formula unit: -4.71
Theoretical density in Mg/m³: 10.95
Crystal system: tetragonal

a b c (Å): 3.706 3.706 11.255
angles (deg): 90.00 90.00 90.00
Space group P4/mmm (No. 123)
Unique sites:
La: 0.000 0.000 0.000 x1
Pm: 0.000 0.000 0.336 x2
Au: 0.500 0.500 0.177 x2
Au: 0.500 0.500 0.500 x1

---

Compound: Tc3C2
Source: the Alexandria database
Functional: PBE
Structure: relaxed

Properties
Energy in Ry/atom: -0.713
Magnetization in μB per formula unit: 0.0
Energy of formation from the pure elements in eV per formula unit: 1.02
Theoretical density in Mg/m³: 9.21
Crystal system: orthorhombic

a b c (Å): 9.661 12.075 3.930
angles (deg): 90.00 90.00 90.00
Space group Fdd2 (No. 43)
Unique sites:
Tc: 0.000 0.000 0.000 x8
Tc: 0.008 0.167 0.499 x16
C: 0.078 0.332 0.497 x16

---

Compound: PaHg2I4
Source: the Alexandria database
Functional: PBE
Structure: relaxed

Properties
Energy in Ry/atom: -0.213
Magnetization in μB per formula unit: 1.0
Raw formation energy in eV per atom: -0.57
Theoretical density in Mg/m³: 5.04
Crystal system: monoclinic

a b c (Å): 9.626 12.174 7.519
angles (deg): 90.00 121.43 90.00
Space group Cm (No. 8)
Unique sites:
Pa: 0.000 0.000 0.000 x2
Hg: 0.424 0.344 0.616 x4
I: 0.059 0.193 0.270 x4
I: 0.141 0.500 0.776 x2
I: 0.315 0.000 0.026 x2

---

Compound: Cu2AgSBr
Source: the Alexandria database
Functional: PBE
Structure: relaxed

Properties
Energy in Ry/atom: -0.245
Magnetization in μB per formula unit: 0.0
Raw formation energy in eV per atom: 0.03
Theoretical density in Mg/m³: 3.70
Crystal system: tetragonal

a b c (Å): 4.175 4.175 8.931
angles (deg): 90.00 90.00 90.00
Space group P4/mmm (No. 123)
Unique sites:
Cu: 0.000 0.500 0.000 x2
Ag: 0.000 0.000 0.500 x1
S: 0.500 0.500 0.000 x1
Br: 0.500 0.500 0.500 x1